## Tb8Pr4Dy (GGA-PBE)

Data for a relaxed Tb8Pr4Dy crystal.

Output
- final energy (eV per atom) = -4.161
- energy of formation from the pure elements (kJ per mole of atoms) = 49
- space group = R-3m

a b c (Å): 7.850 7.850 7.850
angles (deg): 90.11 90.11 90.11
Fractional coordinates of all 13 atoms:
Tb (0.239, 0.239, 0.759)
Tb (0.239, 0.759, 0.239)
Tb (0.240, 0.240, 0.240)
Tb (0.241, 0.761, 0.761)
Tb (0.759, 0.239, 0.239)
Tb (0.760, 0.760, 0.760)
Tb (0.761, 0.241, 0.761)
Tb (0.761, 0.761, 0.241)
Pr (0.000, 0.000, 0.000)
Pr (0.000, 0.500, 0.500)
Pr (0.500, 0.000, 0.500)
Pr (0.500, 0.500, 0.000)
Dy (0.500, 0.500, 0.500)